#one
Pr2NdDy8 | PBE | optimized geometry

Results
V: 366.43 Å³ per cell

abc: 9.2603 9.2603 5.9473
angles: 105.41 105.41 121.26
Positions (direct):
1 Pr 0.1940 0.8060 0.0000
2 Pr 0.8060 0.1940 0.0000
3 Nd 0.5000 0.5000 0.5000
4 Dy 0.0724 0.0724 0.2956
5 Dy 0.1695 0.4011 0.8271
6 Dy 0.2915 0.7085 0.5000
7 Dy 0.4011 0.1695 0.8271
8 Dy 0.5989 0.8305 0.1729
9 Dy 0.7085 0.2915 0.5000
10 Dy 0.8305 0.5989 0.1729
11 Dy 0.9276 0.9276 0.7044

***

#two
Pr2NdDy8 | PBE | optimized geometry

Results
V: 367.33 Å³ per cell

abc: 8.9803 8.9803 6.7062
angles: 98.90 98.90 43.54
Positions (direct):
1 Pr 0.2452 0.2452 0.3078
2 Pr 0.7548 0.7548 0.6922
3 Nd 0.0000 0.0000 0.0000
4 Dy 0.1742 0.6502 0.5953
5 Dy 0.2023 0.2023 0.8006
6 Dy 0.3498 0.8258 0.4047
7 Dy 0.4118 0.4118 0.0942
8 Dy 0.5882 0.5882 0.9058
9 Dy 0.6502 0.1742 0.5953
10 Dy 0.7977 0.7977 0.1994
11 Dy 0.8258 0.3498 0.4047

***

Of them, #two has the lowest stability.

***

#one
Pr6Nd2Dy3 | PBE | optimized geometry

Results
V: 417.51 Å³ per cell

abc: 13.1664 13.1664 13.1664
angles: 154.66 154.66 36.14
Positions (direct):
1 Pr 0.0969 0.5969 0.5000
2 Pr 0.2000 0.2000 0.0000
3 Pr 0.4031 0.9031 0.5000
4 Pr 0.5969 0.0969 0.5000
5 Pr 0.8000 0.8000 0.0000
6 Pr 0.9031 0.4031 0.5000
7 Nd 0.0587 0.0587 0.0000
8 Nd 0.9413 0.9413 0.0000
9 Dy 0.3373 0.3373 0.0000
10 Dy 0.5000 0.5000 0.0000
11 Dy 0.6627 0.6627 0.0000

***

#two
Pr6Nd2Dy3 | PBE | optimized geometry

Results
V: 382.07 Å³ per cell

abc: 6.3449 8.1664 8.2000
angles: 107.43 97.27 104.90
Positions (direct):
1 Pr 0.0467 0.1828 0.4098
2 Pr 0.1370 0.5458 0.2315
3 Pr 0.3197 0.2728 0.8643
4 Pr 0.6803 0.7272 0.1357
5 Pr 0.8630 0.4542 0.7685
6 Pr 0.9533 0.8172 0.5902
7 Nd 0.2298 0.9103 0.0477
8 Nd 0.7702 0.0897 0.9523
9 Dy 0.4100 0.6376 0.6804
10 Dy 0.5000 0.0000 0.5000
11 Dy 0.5900 0.3624 0.3196

***

Of them, #one has the lowest stability.

***

#one
PrNd5Dy5 | PBE | optimized geometry

Results
V: 378.19 Å³ per cell

abc: 9.9948 9.9948 7.0541
angles: 110.47 110.47 35.23
Positions (direct):
1 Pr 0.0000 0.0000 0.0000
2 Nd 0.1763 0.1763 0.4207
3 Nd 0.1762 0.1762 0.9325
4 Nd 0.5000 0.5000 0.0000
5 Nd 0.8238 0.8238 0.0675
6 Nd 0.8237 0.8237 0.5793
7 Dy 0.0000 0.0000 0.5000
8 Dy 0.3298 0.3298 0.8287
9 Dy 0.3764 0.3764 0.3750
10 Dy 0.6236 0.6236 0.6250
11 Dy 0.6702 0.6702 0.1713

***

#two
PrNd5Dy5 | PBE | optimized geometry

Results
V: 388.27 Å³ per cell

abc: 6.1655 6.1655 11.7939
angles: 90.00 90.00 120.00
Positions (direct):
1 Pr 0.0000 0.0000 0.0000
2 Nd 0.0000 0.0000 0.3216
3 Nd 0.0000 0.0000 0.6784
4 Nd 0.3333 0.6667 0.1565
5 Nd 0.3333 0.6667 0.8435
6 Nd 0.6667 0.3333 0.0000
7 Dy 0.0001 0.5001 0.5000
8 Dy 0.4999 0.9999 0.5000
9 Dy 0.4999 0.5001 0.5000
10 Dy 0.6667 0.3333 0.2663
11 Dy 0.6667 0.3333 0.7337

***

Of them, #two has the lowest stability.

***

#one
PrNd6Dy2 | PBE | optimized geometry

Results
V: 314.94 Å³ per cell

abc: 7.6155 7.6155 6.2708
angles: 90.00 90.00 59.99
Positions (direct):
1 Pr 0.0000 0.0000 0.0000
2 Nd 0.1874 0.6234 0.7093
3 Nd 0.1878 0.1878 0.7102
4 Nd 0.3766 0.8126 0.2907
5 Nd 0.6234 0.1874 0.7093
6 Nd 0.8122 0.8122 0.2898
7 Nd 0.8126 0.3766 0.2907
8 Dy 0.3335 0.3335 0.2163
9 Dy 0.6665 0.6665 0.7837

***

#two
PrNd6Dy2 | PBE | optimized geometry

Results
V: 311.13 Å³ per cell

abc: 3.6600 8.9556 9.6671
angles: 89.61 79.09 89.90
Positions (direct):
1 Pr 0.0000 0.0000 0.0000
2 Nd 0.1097 0.6642 0.7810
3 Nd 0.2206 0.3349 0.5582
4 Nd 0.3339 0.0008 0.3329
5 Nd 0.6661 0.9992 0.6671
6 Nd 0.7794 0.6651 0.4418
7 Nd 0.8903 0.3358 0.2190
8 Dy 0.4449 0.6659 0.1103
9 Dy 0.5551 0.3341 0.8897

***

Of them, #one has the lowest stability.